# Ba2NaPtO6 GGA-PBE optimized geometry
# * space-group type: Fm-3m
# * ΔE_f (raw): -1.53 eV per atom
# * DFT total energy: -56.29 eV for the cell shown
# * magnetization: 2.98 μB per formula unit
# * density: 6515 kg/m3
# * D(E_F): 0.68 states/eV/atom
data_Ba2NaPtO6
_symmetry_space_group_name_H-M 'P 1'
_symmetry_Int_Tables_number 1
_symmetry_space_group_name_Hall 'P 1'
_cell_length_a 5.965
_cell_length_b 5.965
_cell_length_c 5.965
_cell_angle_alpha 60.00
_cell_angle_beta 60.00
_cell_angle_gamma 60.00
loop_
_atom_site_label
_atom_site_type_symbol
_atom_site_fract_x
_atom_site_fract_y
_atom_site_fract_z
Ba1 Ba 0.750 0.750 0.750
Ba2 Ba 0.250 0.250 0.250
Na1 Na 0.500 0.500 0.500
Pt1 Pt 0.000 0.000 0.000
O1 O 0.231 0.769 0.769
O2 O 0.231 0.769 0.231
O3 O 0.231 0.231 0.769
O4 O 0.769 0.769 0.231
O5 O 0.769 0.231 0.231
O6 O 0.769 0.231 0.769